(1)
The following is a PBE calculation of a geometry-optimized TiTeCI2 structure, from Alexandria via LeMat-Bulk.

Cell and atoms, written as CIF:
```
data_TiTeCI2
_chemical_formula_sum 'Ti1 Te1 C1 I2'
_space_group_name_H-M_alt 'P 4/m m m'
_space_group_IT_number 123
_space_group_name_Hall '-P 4 2'
_cell_length_a 4.9174
_cell_length_b 4.9174
_cell_length_c 4.8036
_cell_angle_alpha 90.00
_cell_angle_beta 90.00
_cell_angle_gamma 90.00
loop_
_atom_site_label
_atom_site_type_symbol
_atom_site_fract_x
_atom_site_fract_y
_atom_site_fract_z
Ti1 Ti 0.0000 0.0000 0.0000
Te1 Te 0.5000 0.5000 0.0000
C1 C 0.5000 0.5000 0.5000
I1 I 0.0000 0.5000 0.5000
```

Values from the calculation:
**Energy above the lowest structure with this stoichiometry**: 0.028 eV/atom

(2)
The following is a PBE calculation of a geometry-optimized TiTeCI2 structure, from Alexandria via LeMat-Bulk.

Cell and atoms, written as CIF:
```
data_TiTeCI2
_chemical_formula_sum 'Ti1 Te1 C1 I2'
_space_group_name_H-M_alt 'P 4/m m m'
_space_group_IT_number 123
_space_group_name_Hall '-P 4 2'
_cell_length_a 5.5007
_cell_length_b 5.5007
_cell_length_c 5.3703
_cell_angle_alpha 90.00
_cell_angle_beta 90.00
_cell_angle_gamma 90.00
loop_
_atom_site_label
_atom_site_type_symbol
_atom_site_fract_x
_atom_site_fract_y
_atom_site_fract_z
Ti1 Ti 0.0000 0.0000 0.0000
Te1 Te 0.0000 0.0000 0.5000
C1 C 0.5000 0.5000 0.5000
I1 I 0.0000 0.5000 0.0000
```

Values from the calculation:
**Energy above the lowest structure with this stoichiometry**: 0.000 eV/atom

(3)
The following is a PBE calculation of a geometry-optimized VTe2CI structure, from Alexandria via LeMat-Bulk.

Cell and atoms, written as CIF:
```
data_VTe2CI
_chemical_formula_sum 'V1 Te2 C1 I1'
_space_group_name_H-M_alt 'P 4/m m m'
_space_group_IT_number 123
_space_group_name_Hall '-P 4 2'
_cell_length_a 4.7210
_cell_length_b 4.7210
_cell_length_c 4.8765
_cell_angle_alpha 90.00
_cell_angle_beta 90.00
_cell_angle_gamma 90.00
loop_
_atom_site_label
_atom_site_type_symbol
_atom_site_fract_x
_atom_site_fract_y
_atom_site_fract_z
V1 V 0.0000 0.0000 0.0000
Te1 Te 0.0000 0.5000 0.5000
C1 C 0.5000 0.5000 0.5000
I1 I 0.5000 0.5000 0.0000
```

Values from the calculation:
**Energy above the lowest structure with this stoichiometry**: 0.000 eV/atom

(4)
The following is a PBE calculation of a geometry-optimized VTe2CI structure, from Alexandria via LeMat-Bulk.

Cell and atoms, written as CIF:
```
data_VTe2CI
_chemical_formula_sum 'V1 Te2 C1 I1'
_space_group_name_H-M_alt 'P 4/m m m'
_space_group_IT_number 123
_space_group_name_Hall '-P 4 2'
_cell_length_a 5.1403
_cell_length_b 5.1403
_cell_length_c 5.6412
_cell_angle_alpha 90.00
_cell_angle_beta 90.00
_cell_angle_gamma 90.00
loop_
_atom_site_label
_atom_site_type_symbol
_atom_site_fract_x
_atom_site_fract_y
_atom_site_fract_z
V1 V 0.0000 0.0000 0.0000
Te1 Te 0.0000 0.5000 0.0000
C1 C 0.5000 0.5000 0.5000
I1 I 0.0000 0.0000 0.5000
```

Values from the calculation:
**Energy above the lowest structure with this stoichiometry**: 0.047 eV/atom

(5)
The following is a PBE calculation of a geometry-optimized Te2WCI structure, from Alexandria via LeMat-Bulk.

Cell and atoms, written as CIF:
```
data_Te2WCI
_chemical_formula_sum 'Te2 W1 C1 I1'
_space_group_name_H-M_alt 'P 4/m m m'
_space_group_IT_number 123
_space_group_name_Hall '-P 4 2'
_cell_length_a 5.2460
_cell_length_b 5.2460
_cell_length_c 5.6740
_cell_angle_alpha 90.00
_cell_angle_beta 90.00
_cell_angle_gamma 90.00
loop_
_atom_site_label
_atom_site_type_symbol
_atom_site_fract_x
_atom_site_fract_y
_atom_site_fract_z
Te1 Te 0.0000 0.5000 0.0000
W1 W 0.0000 0.0000 0.0000
C1 C 0.5000 0.5000 0.5000
I1 I 0.0000 0.0000 0.5000
```

Values from the calculation:
**Energy above the lowest structure with this stoichiometry**: 0.066 eV/atom

(6)
The following is a PBE calculation of a geometry-optimized Te2WCI structure, from Alexandria via LeMat-Bulk.

Cell and atoms, written as CIF:
```
data_Te2WCI
_chemical_formula_sum 'Te2 W1 C1 I1'
_space_group_name_H-M_alt 'P 4/m m m'
_space_group_IT_number 123
_space_group_name_Hall '-P 4 2'
_cell_length_a 4.6880
_cell_length_b 4.6880
_cell_length_c 4.7624
_cell_angle_alpha 90.00
_cell_angle_beta 90.00
_cell_angle_gamma 90.00
loop_
_atom_site_label
_atom_site_type_symbol
_atom_site_fract_x
_atom_site_fract_y
_atom_site_fract_z
Te1 Te 0.0000 0.5000 0.0000
W1 W 0.0000 0.0000 0.5000
C1 C 0.5000 0.5000 0.0000
I1 I 0.5000 0.5000 0.5000
```

Values from the calculation:
**Energy above the lowest structure with this stoichiometry**: 0.000 eV/atom

(7)
The following is a PBE calculation of a geometry-optimized YTeCI2 structure, from Alexandria via LeMat-Bulk.

Cell and atoms, written as CIF:
```
data_YTeCI2
_chemical_formula_sum 'Y1 Te1 C1 I2'
_space_group_name_H-M_alt 'P 4/m m m'
_space_group_IT_number 123
_space_group_name_Hall '-P 4 2'
_cell_length_a 4.9466
_cell_length_b 4.9466
_cell_length_c 5.1760
_cell_angle_alpha 90.00
_cell_angle_beta 90.00
_cell_angle_gamma 90.00
loop_
_atom_site_label
_atom_site_type_symbol
_atom_site_fract_x
_atom_site_fract_y
_atom_site_fract_z
Y1 Y 0.0000 0.0000 0.0000
Te1 Te 0.5000 0.5000 0.0000
C1 C 0.5000 0.5000 0.5000
I1 I 0.0000 0.5000 0.5000
```

Values from the calculation:
**Energy above the lowest structure with this stoichiometry**: 0.000 eV/atom

(8)
The following is a PBE calculation of a geometry-optimized YTeCI2 structure, from Alexandria via LeMat-Bulk.

Cell and atoms, written as CIF:
```
data_YTeCI2
_chemical_formula_sum 'Y1 Te1 C1 I2'
_space_group_name_H-M_alt 'P 4/m m m'
_space_group_IT_number 123
_space_group_name_Hall '-P 4 2'
_cell_length_a 5.9347
_cell_length_b 5.9347
_cell_length_c 6.1035
_cell_angle_alpha 90.00
_cell_angle_beta 90.00
_cell_angle_gamma 90.00
loop_
_atom_site_label
_atom_site_type_symbol
_atom_site_fract_x
_atom_site_fract_y
_atom_site_fract_z
Y1 Y 0.0000 0.0000 0.0000
Te1 Te 0.0000 0.0000 0.5000
C1 C 0.5000 0.5000 0.5000
I1 I 0.0000 0.5000 0.0000
```

Values from the calculation:
**Energy above the lowest structure with this stoichiometry**: 0.320 eV/atom

(9)
The following is a PBE calculation of a geometry-optimized YTe2CI structure, from Alexandria via LeMat-Bulk.

Cell and atoms, written as CIF:
```
data_YTe2CI
_chemical_formula_sum 'Y1 Te2 C1 I1'
_space_group_name_H-M_alt 'P 4/m m m'
_space_group_IT_number 123
_space_group_name_Hall '-P 4 2'
_cell_length_a 5.9542
_cell_length_b 5.9542
_cell_length_c 5.9040
_cell_angle_alpha 90.00
_cell_angle_beta 90.00
_cell_angle_gamma 90.00
loop_
_atom_site_label
_atom_site_type_symbol
_atom_site_fract_x
_atom_site_fract_y
_atom_site_fract_z
Y1 Y 0.0000 0.0000 0.0000
Te1 Te 0.0000 0.5000 0.0000
C1 C 0.5000 0.5000 0.5000
I1 I 0.0000 0.0000 0.5000
```

Values from the calculation:
**Energy above the lowest structure with this stoichiometry**: 0.652 eV/atom

(10)
The following is a PBE calculation of a geometry-optimized YTe2CI structure, from Alexandria via LeMat-Bulk.

Cell and atoms, written as CIF:
```
data_YTe2CI
_chemical_formula_sum 'Y1 Te2 C1 I1'
_space_group_name_H-M_alt 'P 4/m m m'
_space_group_IT_number 123
_space_group_name_Hall '-P 4 2'
_cell_length_a 4.8858
_cell_length_b 4.8858
_cell_length_c 5.0469
_cell_angle_alpha 90.00
_cell_angle_beta 90.00
_cell_angle_gamma 90.00
loop_
_atom_site_label
_atom_site_type_symbol
_atom_site_fract_x
_atom_site_fract_y
_atom_site_fract_z
Y1 Y 0.0000 0.0000 0.0000
Te1 Te 0.0000 0.5000 0.5000
C1 C 0.5000 0.5000 0.5000
I1 I 0.5000 0.5000 0.0000
```

Values from the calculation:
**Energy above the lowest structure with this stoichiometry**: 0.000 eV/atom

(11)
The following is a PBE calculation of a geometry-optimized ZnTeCI2 structure, from Alexandria via LeMat-Bulk.

Cell and atoms, written as CIF:
```
data_ZnTeCI2
_chemical_formula_sum 'Zn1 Te1 C1 I2'
_space_group_name_H-M_alt 'P 4/m m m'
_space_group_IT_number 123
_space_group_name_Hall '-P 4 2'
_cell_length_a 5.5410
_cell_length_b 5.5410
_cell_length_c 5.3965
_cell_angle_alpha 90.00
_cell_angle_beta 90.00
_cell_angle_gamma 90.00
loop_
_atom_site_label
_atom_site_type_symbol
_atom_site_fract_x
_atom_site_fract_y
_atom_site_fract_z
Zn1 Zn 0.0000 0.0000 0.0000
Te1 Te 0.0000 0.0000 0.5000
C1 C 0.5000 0.5000 0.5000
I1 I 0.0000 0.5000 0.0000
```

Values from the calculation:
**Energy above the lowest structure with this stoichiometry**: 0.480 eV/atom

(12)
The following is a PBE calculation of a geometry-optimized ZnTeCI2 structure, from Alexandria via LeMat-Bulk.

Cell and atoms, written as CIF:
```
data_ZnTeCI2
_chemical_formula_sum 'Zn1 Te1 C1 I2'
_space_group_name_H-M_alt 'P 4/m m m'
_space_group_IT_number 123
_space_group_name_Hall '-P 4 2'
_cell_length_a 5.1506
_cell_length_b 5.1506
_cell_length_c 4.7542
_cell_angle_alpha 90.00
_cell_angle_beta 90.00
_cell_angle_gamma 90.00
loop_
_atom_site_label
_atom_site_type_symbol
_atom_site_fract_x
_atom_site_fract_y
_atom_site_fract_z
Zn1 Zn 0.0000 0.0000 0.0000
Te1 Te 0.5000 0.5000 0.0000
C1 C 0.5000 0.5000 0.5000
I1 I 0.0000 0.5000 0.5000
```

Values from the calculation:
**Energy above the lowest structure with this stoichiometry**: 0.000 eV/atom

(13)
The following is a PBE calculation of a geometry-optimized ZnTe2CI structure, from Alexandria via LeMat-Bulk.

Cell and atoms, written as CIF:
```
data_ZnTe2CI
_chemical_formula_sum 'Zn1 Te2 C1 I1'
_space_group_name_H-M_alt 'P 4/m m m'
_space_group_IT_number 123
_space_group_name_Hall '-P 4 2'
_cell_length_a 4.8539
_cell_length_b 4.8539
_cell_length_c 5.0247
_cell_angle_alpha 90.00
_cell_angle_beta 90.00
_cell_angle_gamma 90.00
loop_
_atom_site_label
_atom_site_type_symbol
_atom_site_fract_x
_atom_site_fract_y
_atom_site_fract_z
Zn1 Zn 0.0000 0.0000 0.0000
Te1 Te 0.0000 0.5000 0.5000
C1 C 0.5000 0.5000 0.5000
I1 I 0.5000 0.5000 0.0000
```

Values from the calculation:
**Energy above the lowest structure with this stoichiometry**: 0.000 eV/atom

(14)
The following is a PBE calculation of a geometry-optimized ZnTe2CI structure, from Alexandria via LeMat-Bulk.

Cell and atoms, written as CIF:
```
data_ZnTe2CI
_chemical_formula_sum 'Zn1 Te2 C1 I1'
_space_group_name_H-M_alt 'P 4/m m m'
_space_group_IT_number 123
_space_group_name_Hall '-P 4 2'
_cell_length_a 5.3397
_cell_length_b 5.3397
_cell_length_c 5.4796
_cell_angle_alpha 90.00
_cell_angle_beta 90.00
_cell_angle_gamma 90.00
loop_
_atom_site_label
_atom_site_type_symbol
_atom_site_fract_x
_atom_site_fract_y
_atom_site_fract_z
Zn1 Zn 0.0000 0.0000 0.0000
Te1 Te 0.0000 0.5000 0.0000
C1 C 0.5000 0.5000 0.5000
I1 I 0.0000 0.0000 0.5000
```

Values from the calculation:
**Energy above the lowest structure with this stoichiometry**: 0.607 eV/atom